1.
A plane-wave DFT calculation with GGA-PBE was carried out for a relaxed structure of La2CdSe2.

Cell lengths 8.401, 8.401, 3.850 Å; angles 90.00, 90.00, 90.00 degrees
Space group P4/mbm (No. 127)
Unique sites:
1 La 0.160 0.340 0.000 x4
2 Cd 0.000 0.000 0.500 x2
3 Se 0.139 0.639 0.500 x4

Properties
Fermi-level density of states   3.431 states/eV/f.u.

=====

2.
A plane-wave DFT calculation with GGA-PBE was carried out for a relaxed structure of MgPtCl2.

Cell lengths 3.983, 4.323, 12.555 Å; angles 90.00, 90.00, 90.00 degrees
Space group Amm2 (No. 38)
Unique sites:
1 Mg 0.000 0.000 0.000 x2
2 Pt 0.500 0.000 0.134 x2
3 Cl 0.000 0.000 0.407 x2
4 Cl 0.500 0.000 0.682 x2

=====

3.
A plane-wave DFT calculation with GGA-PBE was carried out for a relaxed structure of Rb2CoBr.

Cell lengths 8.556, 8.556, 8.556 Å; angles 90.00, 90.00, 90.00 degrees
Space group Fm-3m (No. 225)
Unique sites:
1 Rb 0.250 0.250 0.250 x8
2 Co 0.000 0.000 0.000 x4
3 Br 0.000 0.000 0.500 x4

Properties
Fermi-level density of states   0.000 states/eV/f.u.

=====

Across the entries above, formation energy without anion corrections takes the values -6.80; -3.16; -0.20 eV/f.u., respectively.